(1)
This record from the Alexandria database describes a geometry-optimized TbMg2P2Pt7 structure. The functional is GGA-PBE.

Properties
Formation energy from the elements, eV/atom: -0.7670

Cell: 3.9794 3.9794 13.8949 Å, 80.91 80.91 89.61°
With the nearest neighbours (Å) after each atom.
Fractional positions:
Mg (0.7013, 0.7013, 0.3908)  5 Pt 2.78-2.89, 1 P 2.96
Mg (0.2987, 0.2987, 0.6092)  5 Pt 2.78-2.89, 1 P 2.96
Pt (0.0915, 0.5895, 0.8358)  2 P 2.37-2.39
Pt (0.9085, 0.4105, 0.1642)  2 P 2.37-2.39
Pt (0.4105, 0.9085, 0.1642)  2 P 2.37-2.39
Pt (0.5000, 0.5000, 0.0000)  4 Tb 2.80-2.82, 8 Pt 2.98-2.99
Pt (0.5895, 0.0915, 0.8358)  2 P 2.37-2.39
Pt (0.1876, 0.1876, 0.4243)  1 P 2.25
Pt (0.8124, 0.8124, 0.5757)  1 P 2.25
Tb (0.0000, 0.0000, 0.0000)  12 Pt 2.80-2.99
P (0.6484, 0.6484, 0.7392)  5 Pt 2.25-2.39
P (0.3516, 0.3516, 0.2608)  5 Pt 2.25-2.39

=====

(2)
This record from the Alexandria database describes a geometry-optimized Mo3Ru structure. The functional is GGA-PBE.

Properties
Formation energy from the elements, eV/atom: 0.1935

Cell: 4.9937 9.1583 5.4390 Å, 90.00 90.00 90.00°
With the nearest neighbours (Å) after each atom.
Fractional positions:
Mo (0.2316, 0.4835, 0.3790)  3 Ru 2.62-2.86, 7 Mo 2.68-2.89
Mo (0.0408, 0.7500, 0.1148)  4 Ru 2.64-2.92, 6 Mo 2.74-2.90
Mo (0.2684, 0.9835, 0.8790)  3 Ru 2.62-2.86, 7 Mo 2.68-2.89
Mo (0.2316, 0.0165, 0.3790)  3 Ru 2.62-2.86, 7 Mo 2.68-2.89
Mo (0.9592, 0.2500, 0.8852)  4 Ru 2.64-2.92, 6 Mo 2.74-2.90
Mo (0.4592, 0.2500, 0.6148)  4 Ru 2.64-2.92, 6 Mo 2.74-2.90
Mo (0.7316, 0.0165, 0.1210)  3 Ru 2.62-2.86, 7 Mo 2.68-2.89
Mo (0.7316, 0.4835, 0.1210)  3 Ru 2.62-2.86, 7 Mo 2.68-2.89
Mo (0.2684, 0.5165, 0.8790)  3 Ru 2.62-2.86, 7 Mo 2.68-2.89
Mo (0.7684, 0.9835, 0.6210)  3 Ru 2.62-2.86, 7 Mo 2.68-2.89
Mo (0.5408, 0.7500, 0.3852)  4 Ru 2.64-2.92, 6 Mo 2.74-2.90
Mo (0.7684, 0.5165, 0.6210)  3 Ru 2.62-2.86, 7 Mo 2.68-2.89
Ru (0.5712, 0.7500, 0.8907)  10 Mo 2.62-2.92, 2 Ru 2.93
Ru (0.4288, 0.2500, 0.1093)  10 Mo 2.62-2.92, 2 Ru 2.93
Ru (0.0712, 0.7500, 0.6093)  10 Mo 2.62-2.92, 2 Ru 2.93
Ru (0.9288, 0.2500, 0.3907)  10 Mo 2.62-2.92, 2 Ru 2.93

=====

(3)
This record from the Alexandria database describes a geometry-optimized ScSbPb structure. The functional is GGA-PBE.

Properties
Raw formation energy, eV per formula unit: -1.117

Cell: 5.9380 5.9457 5.9457 Å, 142.11 142.08 54.71°
With the nearest neighbours (Å) after each atom.
Fractional positions:
Sb (0.3051, 0.3045, 0.0006)  4 Sc 2.98-2.99, 1 Pb 3.16
Sc (0.6899, 0.6902, 0.9997)  4 Sb 2.98-2.99, 1 Pb 3.33
Pb (0.0050, 0.0053, 0.9997)  5 Sb 3.16-3.46, 5 Sc 3.33-3.36